[1]
{
  "formula": "Mn2BePt9",
  "functional": "GGA-PBE",
  "state": "relaxed",
  "energy_ev_per_atom": -6.702,
  "magmom_total_mub_per_cell": 8.08,
  "space_group": "P4/mmm, No. 123",
  "lattice_angstrom": [[-3.063, -1.019, -2.200], [2.388, -1.878, -2.456], [-1.247, -9.772, 6.261]],
  "species": ["Pt", "Pt", "Pt", "Pt", "Pt", "Mn", "Pt", "Be", "Pt", "Mn", "Pt", "Pt"],
  "frac_coords": [[0.500, 0.500, 0.000], [0.500, 0.500, 0.670], [0.000, 0.500, 0.839], [0.000, 0.500, 0.500], [0.000, 0.500, 0.161], [0.000, 0.000, 0.330], [0.500, 0.000, 0.161], [0.000, 0.000, 0.000], [0.500, 0.000, 0.500], [0.000, 0.000, 0.670], [0.500, 0.500, 0.330], [0.500, 0.000, 0.839]]
}

***

[2]
{
  "formula": "CaZnAs2",
  "functional": "GGA-PBE",
  "state": "relaxed",
  "energy_ev_per_atom": -3.482,
  "magmom_total_mub_per_cell": 0.00,
  "space_group": "Immm, No. 71",
  "lattice_angstrom": [[5.345, -0.065, -0.002], [1.868, 5.009, 0.002], [-3.596, -2.487, 3.075]],
  "species": ["Zn", "Ca", "As", "As"],
  "frac_coords": [[0.250, 0.750, 0.500], [0.750, 0.250, 0.500], [0.500, 0.500, 0.000], [0.000, 0.000, 0.000]]
}

***

[3]
{
  "formula": "Pa2Ni3Ge4Pt",
  "functional": "GGA-PBE",
  "state": "relaxed",
  "energy_ev_per_atom": -6.720,
  "magmom_total_mub_per_cell": 0.00,
  "space_group": "P-4m2, No. 115",
  "lattice_angstrom": [[4.193, 0.000, 0.000], [0.000, 4.193, 0.000], [0.000, 0.000, 9.514]],
  "species": ["Ni", "Ni", "Pt", "Ge", "Ge", "Pa", "Ge", "Ge", "Pa", "Ni"],
  "frac_coords": [[0.000, 0.500, 0.118], [0.000, 0.000, 0.500], [0.500, 0.500, 0.500], [0.000, 0.000, 0.000], [0.500, 0.000, 0.641], [0.000, 0.500, 0.752], [0.000, 0.500, 0.359], [0.500, 0.500, 0.000], [0.500, 0.000, 0.248], [0.500, 0.000, 0.882]]
}

***

no.,formation energy from the elements (eV per atom)
1,-0.33
2,-0.34
3,-0.64